BeReAu2 | PBE | relaxed

Unit cell a=4.732 b=4.732 c=2.786 alpha=90.00 beta=90.00 gamma=90.00
Space group P4/mmm (No. 123)
Symmetry-distinct sites (fractional):
Be1 0.000 0.000 0.000 x1
Re1 0.500 0.500 0.000 x1
Au1 0.000 0.500 0.500 x2

Output
The calculation puts the density of states at the Fermi level at 2.25 states/eV per cell. The value obtained for the energy relative to the elements is 542 meV/atom. The uncorrected energy comes out at -20.6 eV/f.u.

=====

InCuNiSb2 | PBE | relaxed

Unit cell a=5.060 b=5.060 c=4.864 alpha=90.00 beta=90.00 gamma=90.00
Space group P4/mmm (No. 123)
Symmetry-distinct sites (fractional):
In1 0.000 0.000 0.000 x1
Cu1 0.000 0.000 0.500 x1
Ni1 0.500 0.500 0.000 x1
Sb1 0.000 0.500 0.500 x2

Output
The calculation puts the density of states at the Fermi level at 3.62 states/eV per cell. The uncorrected energy comes out at -17.3 eV/f.u.

=====

Ca2CuAs | PBE | relaxed

Unit cell a=3.987 b=4.224 c=12.153 alpha=90.00 beta=90.00 gamma=90.00
Space group Imm2 (No. 44)
Symmetry-distinct sites (fractional):
Ca1 0.000 0.000 0.000 x2
Ca2 0.000 0.500 0.245 x2
Cu1 0.000 0.500 0.808 x2
As1 0.000 0.000 0.433 x2

Output
The calculation puts the density of states at the Fermi level at 4.77 states/eV per cell. The value obtained for the energy relative to the elements is -496 meV/atom. The uncorrected energy comes out at -14.7 eV/f.u.

=====

PmDy2Th3S6 | PBE | relaxed

Unit cell a=6.858 b=11.782 c=7.064 alpha=90.00 beta=108.55 gamma=90.00
Space group C2/m (No. 12)
Symmetry-distinct sites (fractional):
Pm1 0.000 0.000 0.000 x2
Dy1 0.000 0.333 0.000 x4
Th1 0.000 0.163 0.500 x4
Th2 0.000 0.500 0.500 x2
S1 0.238 0.500 0.235 x4
S2 0.250 0.170 0.239 x8

Output
The calculation puts the density of states at the Fermi level at 14.04 states/eV per cell. The uncorrected energy comes out at -83.9 eV/f.u.

=====

YCu2SiO | PBE | relaxed

Unit cell a=4.145 b=4.145 c=5.750 alpha=90.00 beta=90.00 gamma=90.00
Space group P4/mmm (No. 123)
Symmetry-distinct sites (fractional):
Y1 0.000 0.000 0.000 x1
Cu1 0.000 0.500 0.500 x2
Si1 0.000 0.000 0.500 x1
O1 0.500 0.500 0.000 x1

Output
The calculation puts the density of states at the Fermi level at 2.81 states/eV per cell. The uncorrected energy comes out at -25.3 eV/f.u.

=====

Zr2RhPb | PBE | relaxed

Unit cell a=6.015 b=7.979 c=3.443 alpha=90.00 beta=90.00 gamma=90.00
Space group Cmmm (No. 65)
Symmetry-distinct sites (fractional):
Zr1 0.250 0.250 0.000 x4
Rh1 0.000 0.000 0.500 x2
Pb1 0.000 0.500 0.500 x2

Output
The calculation puts the density of states at the Fermi level at 7.84 states/eV per cell. The value obtained for the energy relative to the elements is -280 meV/atom. The uncorrected energy comes out at -29.3 eV/f.u.

=====

Sb5Au12Br3 | PBE | relaxed

Unit cell a=16.310 b=16.310 c=16.310 alpha=90.00 beta=90.00 gamma=90.00
Space group Ia-3d (No. 230)
Symmetry-distinct sites (fractional):
Sb1 0.000 0.000 0.000 x16
Sb2 0.000 0.250 0.375 x24
Au1 0.038 0.083 0.641 x96
Br1 0.000 0.250 0.125 x24

Output
The calculation puts the density of states at the Fermi level at 62.62 states/eV per cell. The uncorrected energy comes out at -62.1 eV/f.u.

=====

Y2OsPb | PBE | relaxed

Unit cell a=3.440 b=3.440 c=8.509 alpha=90.00 beta=90.00 gamma=90.00
Space group P4mm (No. 99)
Symmetry-distinct sites (fractional):
Y1 0.000 0.000 0.000 x1
Y2 0.500 0.500 0.355 x1
Os1 0.000 0.000 0.551 x1
Pb1 0.500 0.500 0.741 x1

Output
The calculation puts the density of states at the Fermi level at 2.95 states/eV per cell. The value obtained for the energy relative to the elements is 99 meV/atom. The uncorrected energy comes out at -27.5 eV/f.u.

=====

Fe5Co4Rh | PBE | relaxed

Unit cell a=2.483 b=2.483 c=17.399 alpha=90.00 beta=90.00 gamma=90.00
Space group P4/mmm (No. 123)
Symmetry-distinct sites (fractional):
Fe1 0.000 0.000 0.000 x1
Fe2 0.000 0.000 0.196 x2
Fe3 0.000 0.000 0.392 x2
Co1 0.500 0.500 0.098 x2
Co2 0.500 0.500 0.294 x2
Rh1 0.500 0.500 0.500 x1

Output
The calculation puts the density of states at the Fermi level at 19.80 states/eV per cell. The value obtained for the energy relative to the elements is 214 meV/atom. The uncorrected energy comes out at -76.0 eV/f.u.

=====

BOs2Br2 | PBE | relaxed

Unit cell a=4.090 b=4.090 c=11.660 alpha=90.00 beta=90.00 gamma=90.00
Space group I4/mmm (No. 139)
Symmetry-distinct sites (fractional):
B1 0.000 0.000 0.000 x2
Os1 0.000 0.500 0.250 x4
Br1 0.000 0.000 0.371 x4

Output
The calculation puts the density of states at the Fermi level at 8.78 states/eV per cell. The uncorrected energy comes out at -21.9 eV/f.u. The energy above the lowest structure with this stoichiometry is 0.0 meV/atom.